Entry 1:
Ca2TaIn after structural relaxation, computed with GGA-PBE.

```
data_Ca2TaIn
_chemical_formula_sum 'Ca4 Ta2 In2'
_symmetry_space_group_name_H-M 'I m m m'
_symmetry_Int_Tables_number 71
_symmetry_space_group_name_Hall '-I 2 2'
_cell_length_a 3.459
_cell_length_b 5.330
_cell_length_c 10.945
_cell_angle_alpha 90.00
_cell_angle_beta 90.00
_cell_angle_gamma 90.00
loop_
_atom_site_label
_atom_site_fract_x
_atom_site_fract_y
_atom_site_fract_z
Ca1 0.000 0.000 0.248
Ta1 0.000 0.500 0.000
In1 0.000 0.500 0.500
```

energy relative to the elements = 43.9 kJ per mole of atoms
total moment = 0.000 μB/atom


Entry 2:
CaTaIn after structural relaxation, computed with GGA-PBE.

```
data_CaTaIn
_chemical_formula_sum 'Ca4 Ta4 In4'
_symmetry_space_group_name_H-M 'F -4 3 m'
_symmetry_Int_Tables_number 216
_symmetry_space_group_name_Hall 'F -4 2 3'
_cell_length_a 6.950
_cell_length_b 6.950
_cell_length_c 6.950
_cell_angle_alpha 90.00
_cell_angle_beta 90.00
_cell_angle_gamma 90.00
loop_
_atom_site_label
_atom_site_fract_x
_atom_site_fract_y
_atom_site_fract_z
Ca1 0.000 0.000 0.000
Ta1 0.000 0.000 0.500
In1 0.250 0.250 0.250
```

relative energy among the computed polymorphs = 607 meV/atom
energy relative to the elements = 82.3 kJ per mole of atoms
total moment = 0.538 μB/atom


Entry 3:
CaTa3In after structural relaxation, computed with GGA-PBE.

```
data_CaTa3In
_chemical_formula_sum 'Ca1 Ta3 In1'
_symmetry_space_group_name_H-M 'P m -3 m'
_symmetry_Int_Tables_number 221
_symmetry_space_group_name_Hall '-P 4 2 3'
_cell_length_a 5.128
_cell_length_b 5.128
_cell_length_c 5.128
_cell_angle_alpha 90.00
_cell_angle_beta 90.00
_cell_angle_gamma 90.00
loop_
_atom_site_label
_atom_site_fract_x
_atom_site_fract_y
_atom_site_fract_z
Ca1 0.000 0.000 0.000
Ta1 0.000 0.500 0.500
In1 0.500 0.500 0.500
```

relative energy among the computed polymorphs = 0 meV/atom
energy relative to the elements = 176.4 kJ per mole of atoms
total moment = 0.000 μB/atom


Entry 4:
CaTa2In after structural relaxation, computed with GGA-PBE.

```
data_CaTa2In
_chemical_formula_sum 'Ca2 Ta4 In2'
_symmetry_space_group_name_H-M 'I 4/m m m'
_symmetry_Int_Tables_number 139
_symmetry_space_group_name_Hall '-I 4 2'
_cell_length_a 4.193
_cell_length_b 4.193
_cell_length_c 9.791
_cell_angle_alpha 90.00
_cell_angle_beta 90.00
_cell_angle_gamma 90.00
loop_
_atom_site_label
_atom_site_fract_x
_atom_site_fract_y
_atom_site_fract_z
Ca1 0.000 0.000 0.000
Ta1 0.000 0.500 0.250
In1 0.000 0.000 0.500
```

energy relative to the elements = 44.9 kJ per mole of atoms
total moment = 0.000 μB/atom


The highest energy relative to the elements belongs to which entry? CaTa3In